DFT (PBE) results for crystalline TaCu2Rh2S6 at its relaxed geometry.

Geometry as POSCAR:
```
TaCu2Rh2S6
1.0
5.948 0.033 -0.833
-2.911 5.187 -0.833
-2.019 -3.470 7.117
Ta Cu Rh S
1 2 2 6
direct
0.000 0.000 0.500 Ta
0.827 0.173 0.000 Cu
0.173 0.827 0.000 Cu
0.330 0.670 0.500 Rh
0.670 0.330 0.500 Rh
0.897 0.897 0.742 S
0.228 0.565 0.738 S
0.103 0.103 0.258 S
0.565 0.228 0.738 S
0.772 0.435 0.262 S
0.435 0.772 0.262 S
```

SG   C2/m (12)
Energy relative to the elements, uncorrected   -401 meV per atom
Spin magnetization   0.00 μB/cell